Compound: Pr3HoTm7
Source: Alexandria
Functional: PBE-GGA
Structure: relaxed

Properties
Energy relative to the lowest polymorph listed for this composition = 0.559 eV/f.u.
Calculated formation energy = 176 meV/atom
Crystal system = trigonal

```
data_Pr3HoTm7
_chemical_formula_sum 'Pr3 Ho1 Tm7'
_cell_length_a 7.0189
_cell_length_b 7.0189
_cell_length_c 8.6543
_cell_angle_alpha 90.00
_cell_angle_beta 90.00
_cell_angle_gamma 120.00
_space_group_name_H-M_alt 'P 3 m 1'
_space_group_IT_number 156
loop_
_space_group_symop_operation_xyz
'x,y,z'
'-y,x-y,z'
'-x+y,-x,z'
'-y,-x,z'
'-x+y,y,z'
'x,x-y,z'
loop_
_atom_site_label
_atom_site_type_symbol
_atom_site_fract_x
_atom_site_fract_y
_atom_site_fract_z
Pr1 Pr 0.9999 0.4999 0.0000
Ho1 Ho 0.3333 0.6667 0.3402
Tm1 Tm 0.1673 0.3346 0.6606
Tm2 Tm 0.3347 0.1674 0.3402
Tm3 Tm 0.6667 0.3333 0.6599
```



Compound: BaCa2CdBr8
Source: Alexandria
Functional: PBE-GGA
Structure: relaxed

Properties
Crystal system = monoclinic
E_form (uncorrected) = -167.0 kJ per mole of atoms

```
data_BaCa2CdBr8
_chemical_formula_sum 'Ba1 Ca2 Cd1 Br8'
_cell_length_a 6.791
_cell_length_b 8.980
_cell_length_c 7.045
_cell_angle_alpha 90.00
_cell_angle_beta 91.19
_cell_angle_gamma 90.00
_space_group_name_H-M_alt 'P 1 2/m 1'
_space_group_IT_number 10
loop_
_space_group_symop_operation_xyz
'x,y,z'
'-x,-y,-z'
'-x,y,-z'
'x,-y,z'
loop_
_atom_site_label
_atom_site_type_symbol
_atom_site_fract_x
_atom_site_fract_y
_atom_site_fract_z
Ba1 Ba 0.000 0.000 0.000
Ca1 Ca 0.500 0.262 0.500
Cd1 Cd 0.000 0.500 0.000
Br1 Br 0.243 0.281 0.160
Br2 Br 0.260 0.500 0.664
Br3 Br 0.280 0.000 0.637
```



Compound: Al3Pb
Source: Alexandria
Functional: PBE-GGA
Structure: relaxed

Properties
Calculated formation energy = 1254 meV/atom
Crystal system = cubic

```
data_Al3Pb
_chemical_formula_sum 'Al3 Pb1'
_cell_length_a 5.639
_cell_length_b 5.639
_cell_length_c 5.639
_cell_angle_alpha 90.00
_cell_angle_beta 90.00
_cell_angle_gamma 90.00
_space_group_name_H-M_alt 'P m -3 m'
_space_group_IT_number 221
_space_group_name_Hall '-P 4 2 3'
loop_
_atom_site_label
_atom_site_type_symbol
_atom_site_fract_x
_atom_site_fract_y
_atom_site_fract_z
Al1 Al 0.000 0.000 0.500
Pb1 Pb 0.000 0.000 0.000
```



Compound: Dy2YPd2
Source: Alexandria
Functional: PBE-GGA
Structure: relaxed

Properties
Calculated formation energy = -730 meV/atom
Crystal system = tetragonal

```
data_Dy2YPd2
_chemical_formula_sum 'Dy4 Y2 Pd4'
_cell_length_a 7.834
_cell_length_b 7.834
_cell_length_c 3.925
_cell_angle_alpha 90.00
_cell_angle_beta 90.00
_cell_angle_gamma 90.00
_space_group_name_H-M_alt 'P 4/m b m'
_space_group_IT_number 127
_space_group_name_Hall '-P 4 2ab'
loop_
_atom_site_label
_atom_site_type_symbol
_atom_site_fract_x
_atom_site_fract_y
_atom_site_fract_z
Dy1 Dy 0.165 0.335 0.000
Y1 Y 0.000 0.000 0.500
Pd1 Pd 0.131 0.631 0.500
```



Compound: LaPm2NdAs4
Source: Alexandria
Functional: PBE-GGA
Structure: relaxed

Properties
Calculated formation energy = -1533 meV/atom
Crystal system = orthorhombic

```
data_LaPm2NdAs4
_chemical_formula_sum 'La4 Pm8 Nd4 As16'
_cell_length_a 8.563
_cell_length_b 8.564
_cell_length_c 12.110
_cell_angle_alpha 90.00
_cell_angle_beta 90.00
_cell_angle_gamma 90.00
_space_group_name_H-M_alt 'I m m a'
_space_group_IT_number 74
_space_group_name_Hall '-I 2b 2'
loop_
_atom_site_label
_atom_site_type_symbol
_atom_site_fract_x
_atom_site_fract_y
_atom_site_fract_z
La1 La 0.250 0.250 0.250
Pm1 Pm 0.000 0.000 0.000
Pm2 Pm 0.250 0.250 0.750
Nd1 Nd 0.000 0.000 0.500
As1 As 0.000 0.004 0.751
As2 As 0.249 0.250 0.998
```



Compound: Ce2DyGa6
Source: Alexandria
Functional: PBE-GGA
Structure: relaxed

Properties
Energy relative to the lowest polymorph listed for this composition = 0.000 eV/f.u.
Calculated formation energy = -604 meV/atom
Crystal system = hexagonal

```
data_Ce2DyGa6
_chemical_formula_sum 'Ce2 Dy1 Ga6'
_cell_length_a 7.3759
_cell_length_b 7.3759
_cell_length_c 4.1548
_cell_angle_alpha 90.00
_cell_angle_beta 90.00
_cell_angle_gamma 120.00
_space_group_name_H-M_alt 'P 6/m m m'
_space_group_IT_number 191
_space_group_name_Hall '-P 6 2'
loop_
_atom_site_label
_atom_site_type_symbol
_atom_site_fract_x
_atom_site_fract_y
_atom_site_fract_z
Ce1 Ce 0.3333 0.6667 0.0000
Dy1 Dy 0.0000 0.0000 0.0000
Ga1 Ga 0.0000 0.3325 0.5000
```



Q: Which formula does entry 5 have?
A: LaPm2NdAs4